Material: TaCu3
Method: DFT, SCAN
State: PBEsol geometry

As for the spin magnetization: 0.000 μB per atom. The formation energy comes out at 0.16 eV/atom. The uncorrected energy is -223.07 eV for the cell shown.

The structure belongs to space group C2/m (No. 12); the cell edges are 8.676, 2.613 and 4.682 Å and the angles 90.00°, 99.35° and 90.00°. The inequivalent atoms are Ta at (0.000, 0.000, 0.000), Cu at (0.000, 0.500, 0.500) and Cu at (0.244, 0.000, 0.738).

Material: MnTe2W
Method: DFT, SCAN
State: PBEsol geometry

The uncorrected formation energy is 0.13 eV/atom. As for the spin magnetization: 0.823 μB per atom. The uncorrected energy is -161.91 eV for the cell shown. The calculation puts the offset from the most stable computed form at 0.0000 eV per atom.

The structure belongs to space group P4mm (No. 99); the cell edges are 3.329, 3.329 and 7.567 Å and the angles 90.00°, 90.00° and 90.00°. The inequivalent atoms are Mn at (0.000, 0.000, 0.000), Te at (0.000, 0.000, 0.610), Te at (0.500, 0.500, 0.181) and W at (0.500, 0.500, 0.813).

Material: ZnAgAu2
Method: DFT, SCAN
State: PBEsol geometry

As for the spin magnetization: 0.000 μB per atom. The formation energy comes out at -0.10 eV/atom. The uncorrected energy is -183.61 eV for the cell shown.

The structure belongs to space group P4mm (No. 99); the cell edges are 2.894, 2.894 and 7.643 Å and the angles 90.00°, 90.00° and 90.00°. The inequivalent atoms are Zn at (0.000, 0.000, 0.000), Ag at (0.500, 0.500, 0.765), Au at (0.000, 0.000, 0.501) and Au at (0.500, 0.500, 0.229).

Material: ScS3I
Method: DFT, SCAN
State: PBEsol geometry

The uncorrected formation energy is 0.37 eV/atom. As for the spin magnetization: 0.108 μB per atom. The uncorrected energy is -78.00 eV for the cell shown.

The structure belongs to space group Pm-3m (No. 221); the cell edges are 4.999, 4.999 and 4.999 Å and the angles 90.00°, 90.00° and 90.00°. The inequivalent atoms are Sc at (0.000, 0.000, 0.000), S at (0.000, 0.500, 0.500) and I at (0.500, 0.500, 0.500).

Material: K2Tc
Method: DFT, SCAN
State: PBEsol geometry

As for the spin magnetization: 0.000 μB per atom. The formation energy comes out at 0.97 eV/atom. The uncorrected energy is -195.26 eV for the cell shown. The calculation puts the offset from the most stable computed form at 0.0000 eV per atom.

The structure belongs to space group I4/mcm (No. 140); the cell edges are 9.452, 9.452 and 4.549 Å and the angles 90.00°, 90.00° and 90.00°. The inequivalent atoms are K at (0.163, 0.337, 0.000) and Tc at (0.000, 0.000, 0.250).

Material: ScSi2Rh
Method: DFT, SCAN
State: PBEsol geometry

The uncorrected formation energy is -0.38 eV/atom. As for the spin magnetization: 0.000 μB per atom. The uncorrected energy is -208.65 eV for the cell shown.

The structure belongs to space group R-3m (No. 166, hexagonal axes); the cell edges are 2.9564, 2.9564 and 24.3379 Å and the angles 90.00°, 90.00° and 120.00°. The inequivalent atoms are Sc at (0.0000, 0.0000, 0.0000), Si at (0.0000, 0.0000, 0.2407) and Rh at (0.0000, 0.0000, 0.5000).

Material: Li2YW
Method: DFT, SCAN
State: PBEsol geometry

As for the spin magnetization: 0.017 μB per atom. The formation energy comes out at 0.98 eV/atom. The uncorrected energy is -393.55 eV for the cell shown. The calculation puts the offset from the most stable computed form at 0.3901 eV per atom.

The structure belongs to space group I-42d (No. 122); the cell edges are 3.901, 3.901 and 21.509 Å and the angles 90.00°, 90.00° and 90.00°. The inequivalent atoms are Li at (0.206, 0.750, 0.125), Y at (0.000, 0.000, 0.500) and W at (0.000, 0.000, 0.000).

Material: La2PbW
Method: DFT, SCAN
State: PBEsol geometry

As for the spin magnetization: 0.000 μB per atom. The formation energy comes out at 0.30 eV/atom. The uncorrected energy is -460.96 eV for the cell shown.

The structure belongs to space group Cmmm (No. 65); the cell edges are 6.789, 9.386 and 3.186 Å and the angles 90.00°, 90.00° and 90.00°. The inequivalent atoms are La at (0.250, 0.250, 0.000), Pb at (0.000, 0.000, 0.500) and W at (0.000, 0.500, 0.500).